Here is crystalline Ba3CrCl2F6 at its relaxed geometry from Alexandria via LeMat-Bulk. Energies are from PBE with a Hubbard U.

a = 7.936 Å, b = 7.936 Å, c = 5.374 Å
α = 94.90°, β = 94.90°, γ = 58.54°
Positions (direct):
Ba: 0.000 0.000 0.000
Ba: 0.000 0.500 0.500
Ba: 0.500 0.000 0.500
Cr: 0.500 0.500 0.500
Cl: 0.213 0.213 0.923
Cl: 0.787 0.787 0.077
F: 0.183 0.684 0.689
F: 0.316 0.817 0.311
F: 0.361 0.361 0.360
F: 0.639 0.639 0.640
F: 0.684 0.183 0.689
F: 0.817 0.316 0.311

## Properties
**Calculated volume**: 23.9 Å³/atom
**DOS(E_F)**: 0.00 states/eV/atom
**M_tot**: 4.000 μB per formula unit
**Energy**: -5.378 eV/atom
**Density**: 3.75 g/cm3
**SG**: C2/m (12)